1.
Below is a relaxed KTaPd2O crystal, with properties calculated at the PBE level.

Cell: 4.7014 5.9676 4.7014 Å, 90.00 90.00 90.00°
Closest atoms and distances in Å follow each position.
Atoms (fractional coordinates):
O1 0.5000 0.5000 0.5000  4 Ta 3.32
K1 0.0000 0.0000 0.0000  4 Pd 2.35
Ta1 0.0000 0.5000 0.0000  2 K 2.98, 4 O 3.32
Pd1 0.5000 0.0000 0.0000  2 K 2.35
Pd2 0.0000 0.0000 0.5000  2 K 2.35

Properties
magnetic moment: 2.398 μB per formula unit
space group: No. 123
total DFT energy (no corrections): -3.111 eV per atom

***

2.
Below is a relaxed KTaPdO4 crystal, with properties calculated at the PBE level.

Cell: 5.9577 7.2054 6.1152 Å, 115.11 90.00 114.42°
Closest atoms and distances in Å follow each position.
Atoms (fractional coordinates):
O1 0.6773 0.3545 0.2208  1 Ta 2.08, 2 Pd 2.13
O2 0.6773 0.3545 0.6338  1 Ta 2.08, 2 Pd 2.13
O3 0.2992 0.0255 0.7628  2 Ta 1.99
O4 0.3227 0.6455 0.3662  1 Ta 2.08, 2 Pd 2.13
O5 0.7264 0.0255 0.7628  2 Ta 1.99
O6 0.3227 0.6455 0.7792  1 Ta 2.08, 2 Pd 2.13
O7 0.7008 0.9745 0.2372  2 Ta 1.99
O8 0.2736 0.9745 0.2372  2 Ta 1.99
Pd1 0.0000 0.5000 0.5000  4 O 2.13
Pd2 0.5000 0.5000 0.5000  4 O 2.13
K1 0.1668 0.3335 0.9168  4 O 2.47-2.55
K2 0.8332 0.6665 0.0832  4 O 2.47-2.55
Ta1 0.5000 0.0000 0.5000  6 O 1.99-2.08
Ta2 0.5000 0.0000 0.0000  6 O 1.99-2.08

Properties
magnetic moment: 0.000 μB per formula unit
space group: No. 74
total DFT energy (no corrections): -7.232 eV per atom

***

3.
Below is a relaxed K2TbPdO4 crystal, with properties calculated at the PBE level.

Cell: 3.3425 5.9480 6.6530 Å, 110.01 90.00 90.00°
Closest atoms and distances in Å follow each position.
Atoms (fractional coordinates):
Tb1 0.5000 0.5000 0.0000  6 O 2.27-2.39
O1 0.0000 0.2906 0.7873  2 Tb 2.27
O2 0.5000 0.7958 0.8319  2 Pd 2.14, 1 Tb 2.39
O3 0.5000 0.2042 0.1681  2 Pd 2.14, 1 Tb 2.39
O4 0.0000 0.7094 0.2127  2 Tb 2.27
K1 0.5000 0.0000 0.5000  6 O 2.68-2.86
K2 0.0000 0.5000 0.5000  6 O 2.61-2.85
Pd1 0.0000 0.0000 0.0000  4 O 2.14

Properties
magnetic moment: 0.992 μB per formula unit
space group: No. 10
total DFT energy (no corrections): -5.679 eV per atom

***

4.
Below is a relaxed K3Tb3PdO8 crystal, with properties calculated at the PBE level.

Cell: 6.8198 6.8196 7.4125 Å, 117.39 90.00 120.00°
Closest atoms and distances in Å follow each position.
Atoms (fractional coordinates):
Tb1 0.5000 0.5000 0.5000  6 O 2.28-2.33
Tb2 0.5000 0.0000 0.5000  6 O 2.28-2.33
Tb3 0.0000 0.5000 0.5000  6 O 2.28-2.33
O1 0.2723 0.5445 0.3168  3 Tb 2.28
O2 0.2126 0.4252 0.6761  1 Pd 2.13, 2 Tb 2.33
O3 0.2491 0.0365 0.3240  1 Pd 2.13, 2 Tb 2.33
O4 0.2126 0.9635 0.6760  1 Pd 2.13, 2 Tb 2.33
O5 0.7874 0.0365 0.3240  1 Pd 2.13, 2 Tb 2.33
O6 0.7509 0.9635 0.6760  1 Pd 2.13, 2 Tb 2.33
O7 0.7277 0.4555 0.6832  3 Tb 2.28
O8 0.7874 0.5748 0.3239  1 Pd 2.13, 2 Tb 2.33
K1 0.5000 0.5000 0.0000  6 O 2.78-2.80
K2 0.0000 0.5000 0.0000  6 O 2.78-2.80
K3 0.0000 0.0000 0.0000  6 O 2.78-2.80
Pd1 0.0000 0.0000 0.5000  6 O 2.13

Properties
magnetic moment: 0.000 μB per formula unit
space group: No. 166
total DFT energy (no corrections): -6.415 eV per atom

***

5.
Below is a relaxed K2Tb2PdO6 crystal, with properties calculated at the PBE level.

Cell: 5.7986 5.7986 6.5974 Å, 97.50 97.50 119.59°
Closest atoms and distances in Å follow each position.
Atoms (fractional coordinates):
O1 0.6398 0.9527 0.3263  1 Pd 2.12, 2 Tb 2.29-2.31
O2 0.3602 0.0473 0.6737  1 Pd 2.12, 2 Tb 2.29-2.31
O3 0.9527 0.6398 0.3263  1 Pd 2.12, 2 Tb 2.29-2.31
O4 0.2503 0.2503 0.3232  1 Pd 2.09, 2 Tb 2.31
O5 0.7497 0.7497 0.6768  1 Pd 2.09, 2 Tb 2.31
O6 0.0473 0.3602 0.6737  1 Pd 2.12, 2 Tb 2.29-2.31
Pd1 0.0000 0.0000 0.5000  6 O 2.09-2.12
K1 0.1586 0.8414 0.0000  6 O 2.72-3.02
K2 0.8414 0.1586 0.0000  6 O 2.72-3.02
Tb1 0.6645 0.3355 0.5000  6 O 2.29-2.31
Tb2 0.3355 0.6645 0.5000  6 O 2.29-2.31

Properties
magnetic moment: 0.000 μB per formula unit
space group: No. 12
total DFT energy (no corrections): -6.312 eV per atom

***

6.
Below is a relaxed K3Tb2PdO6 crystal, with properties calculated at the PBE level.

Cell: 5.9463 5.9463 6.5098 Å, 98.24 98.24 120.68°
Closest atoms and distances in Å follow each position.
Atoms (fractional coordinates):
Pd1 0.0000 0.0000 0.0000  6 O 2.12-2.36
Tb1 0.3305 0.6695 0.0000  6 O 2.30-2.35
Tb2 0.6695 0.3305 0.0000  6 O 2.30-2.35
K1 0.8404 0.1596 0.5000  6 O 2.71-2.77
K2 0.5000 0.5000 0.5000  6 O 2.76-2.90
K3 0.1596 0.8404 0.5000  6 O 2.71-2.77
O1 0.5974 0.9351 0.8028  2 Tb 2.30, 1 Pd 2.36
O2 0.7476 0.7476 0.1748  1 Pd 2.12, 2 Tb 2.35
O3 0.0649 0.4026 0.1972  2 Tb 2.30, 1 Pd 2.36
O4 0.4026 0.0649 0.1972  2 Tb 2.30, 1 Pd 2.36
O5 0.2524 0.2524 0.8252  1 Pd 2.12, 2 Tb 2.35
O6 0.9351 0.5974 0.8028  2 Tb 2.30, 1 Pd 2.36

Properties
magnetic moment: 1.001 μB per formula unit
space group: No. 12
total DFT energy (no corrections): -5.998 eV per atom

***

7.
Below is a relaxed KTb2PdO5 crystal, with properties calculated at the PBE level.

Cell: 6.5933 6.5933 7.6040 Å, 115.69 115.69 90.00°
Closest atoms and distances in Å follow each position.
Atoms (fractional coordinates):
O1 0.4830 0.2491 0.2321  1 Pd 2.03
O2 0.5000 0.5000 0.0000  4 Tb 2.44
O3 0.7491 0.9830 0.2321  1 Pd 2.03
O4 0.9830 0.4830 0.2321  1 Pd 2.03
O5 0.2509 0.0170 0.7679  1 Pd 2.03
O6 0.7509 0.2509 0.7679  1 Pd 2.03
O7 0.2491 0.7491 0.2321  1 Pd 2.03
O8 0.0000 0.0000 0.0000  4 Tb 2.44
O9 0.5170 0.7509 0.7679  1 Pd 2.03
O10 0.0170 0.5170 0.7679  1 Pd 2.03
K1 0.2500 0.2500 0.5000  10 O 3.00-3.04, 4 Pd 3.30
K2 0.7500 0.7500 0.5000  10 O 3.00-3.04, 4 Pd 3.30
Tb1 0.3263 0.8263 0.0000  8 O 2.28-2.47
Tb2 0.6737 0.1737 0.0000  8 O 2.28-2.47
Tb3 0.8263 0.6737 0.0000  8 O 2.28-2.47
Tb4 0.1737 0.3263 0.0000  8 O 2.28-2.47
Pd1 0.2500 0.7500 0.5000  4 O 2.03
Pd2 0.7500 0.2500 0.5000  4 O 2.03

Properties
magnetic moment: 1.035 μB per formula unit
space group: No. 140
total DFT energy (no corrections): -6.638 eV per atom

***

8.
Below is a relaxed KTc2PdO8 crystal, with properties calculated at the PBE level.

Cell: 5.6319 5.6319 7.7640 Å, 90.00 90.00 120.00°
Closest atoms and distances in Å follow each position.
Atoms (fractional coordinates):
O1 0.2677 0.9251 0.6732  1 Tc 1.76
O2 0.9251 0.6575 0.3268  1 Tc 1.76
O3 0.0749 0.3425 0.6732  1 Tc 1.76
O4 0.7323 0.0749 0.3268  1 Tc 1.76
O5 0.3333 0.6667 0.9704  1 Tc 1.74
O6 0.3425 0.2677 0.3268  1 Tc 1.76
O7 0.6575 0.7323 0.6732  1 Tc 1.76
O8 0.6667 0.3333 0.0296  1 Tc 1.74
K1 0.0000 0.0000 0.0000  12 O 3.09-3.26
Tc1 0.3333 0.6667 0.7461  4 O 1.74-1.76
Tc2 0.6667 0.3333 0.2539  4 O 1.74-1.76
Pd1 0.0000 0.0000 0.5000  6 O 2.21

Properties
magnetic moment: 1.006 μB per formula unit
space group: No. 147
total DFT energy (no corrections): -6.851 eV per atom

***

9.
Below is a relaxed K3TePd3O8 crystal, with properties calculated at the PBE level.

Cell: 6.9614 6.5782 7.4268 Å, 118.02 90.00 121.95°
Closest atoms and distances in Å follow each position.
Atoms (fractional coordinates):
O1 0.7144 0.4287 0.6240  3 Pd 2.03-2.11
O2 0.2856 0.5713 0.3760  3 Pd 2.03-2.11
O3 0.7673 0.9437 0.6632  1 Te 2.00, 1 Pd 2.09
O4 0.2327 0.0563 0.3368  1 Te 2.00, 1 Pd 2.09
O5 0.2022 0.4043 0.7167  1 Te 1.91
O6 0.1765 0.9437 0.6632  1 Te 2.00, 1 Pd 2.09
O7 0.8235 0.0563 0.3368  1 Te 2.00, 1 Pd 2.09
O8 0.7978 0.5957 0.2833  1 Te 1.91
Pd1 0.5000 0.5000 0.5000  4 O 2.09-2.11
Pd2 0.0000 0.5000 0.5000  4 O 2.09-2.11
Pd3 0.5000 0.0000 0.5000  2 O 2.03
K1 0.0000 0.0000 0.0000  6 O 2.74-2.85
K2 0.0000 0.5000 0.0000  4 O 2.55-2.72
K3 0.5000 0.5000 0.0000  4 O 2.55-2.72
Te1 0.0000 0.0000 0.5000  6 O 1.91-2.00

Properties
magnetic moment: 0.918 μB per formula unit
space group: No. 12
total DFT energy (no corrections): -4.992 eV per atom

***

10.
Below is a relaxed KTePdO6 crystal, with properties calculated at the PBE level.

Cell: 5.2587 5.2587 6.1180 Å, 90.00 90.00 60.00°
Closest atoms and distances in Å follow each position.
Atoms (fractional coordinates):
O1 0.3730 0.6204 0.3184  1 Te 1.97, 1 Pd 2.01
O2 0.0066 0.6204 0.6815  1 Te 1.97, 1 Pd 2.01
O3 0.6204 0.0066 0.3184  1 Te 1.97, 1 Pd 2.01
O4 0.0066 0.3730 0.3184  1 Te 1.97, 1 Pd 2.01
O5 0.6204 0.3730 0.6816  1 Te 1.97, 1 Pd 2.01
O6 0.3730 0.0066 0.6815  1 Te 1.97, 1 Pd 2.01
K1 0.0000 0.0000 0.0000  6 O 2.78
Te1 0.3333 0.3333 0.5000  6 O 1.97
Pd1 0.6666 0.6667 0.5000  6 O 2.01

Properties
magnetic moment: 1.008 μB per formula unit
space group: No. 149
total DFT energy (no corrections): -5.206 eV per atom

***

11.
Below is a relaxed K2TePdO6 crystal, with properties calculated at the PBE level.

Cell: 5.8740 5.8740 10.3565 Å, 73.53 73.53 60.00°
Closest atoms and distances in Å follow each position.
Atoms (fractional coordinates):
K1 0.8779 0.8779 0.3662  12 O 2.86-3.21
K2 0.7166 0.7166 0.8502  9 O 2.87-2.95
K3 0.2834 0.2834 0.1498  9 O 2.87-2.95
K4 0.1221 0.1221 0.6338  12 O 2.86-3.21
O1 0.3963 0.3963 0.3695  1 Te 1.97, 1 Pd 2.09
O2 0.8378 0.3963 0.3695  1 Te 1.97, 1 Pd 2.09
O3 0.3963 0.8378 0.3695  1 Te 1.97, 1 Pd 2.09
O4 0.6037 0.6037 0.6305  1 Te 1.97, 1 Pd 2.09
O5 0.1622 0.6037 0.6305  1 Te 1.97, 1 Pd 2.09
O6 0.6037 0.1622 0.6305  1 Te 1.97, 1 Pd 2.09
O7 0.1946 0.7322 0.8786  1 Te 1.97, 1 Pd 2.07
O8 0.1946 0.1946 0.8786  1 Te 1.97, 1 Pd 2.07
O9 0.2678 0.8054 0.1214  1 Te 1.97, 1 Pd 2.07
O10 0.8054 0.8054 0.1214  1 Te 1.97, 1 Pd 2.07
O11 0.7322 0.1946 0.8786  1 Te 1.97, 1 Pd 2.07
O12 0.8054 0.2678 0.1214  1 Te 1.97, 1 Pd 2.07
Te1 0.5000 0.5000 0.5000  6 O 1.97
Te2 0.0000 0.0000 0.0000  6 O 1.97
Pd1 0.4070 0.4070 0.7790  6 O 2.07-2.09
Pd2 0.5930 0.5930 0.2210  6 O 2.07-2.09

Properties
magnetic moment: 0.299 μB per formula unit
space group: No. 166
total DFT energy (no corrections): -5.008 eV per atom

***

12.
Below is a relaxed K2TePdO4 crystal, with properties calculated at the PBE level.

Cell: 5.7488 5.7488 5.7488 Å, 104.76 111.88 111.88°
Closest atoms and distances in Å follow each position.
Atoms (fractional coordinates):
K1 0.0000 0.0000 0.0000  4 O 2.75
K2 0.5000 0.7500 0.2500  4 O 2.76
O1 0.3378 0.8844 0.8114  1 Te 2.01, 1 Pd 2.14
O2 0.9270 0.4534 0.1156  1 Te 2.01, 1 Pd 2.14
O3 0.0730 0.1887 0.5265  1 Te 2.01, 1 Pd 2.14
O4 0.6622 0.4735 0.5466  1 Te 2.01, 1 Pd 2.14
Te1 0.0000 0.5000 0.5000  4 O 2.01
Pd1 0.5000 0.2500 0.7500  4 O 2.14

Properties
magnetic moment: 0.000 μB per formula unit
space group: No. 82
total DFT energy (no corrections): -4.764 eV per atom

***

Which value of total DFT energy (no corrections) does entry 6 give? -5.998 eV per atom